1.
Below is Ga2S3 after structural relaxation, with properties calculated at the GGA-PBE level.

The structure belongs to space group P2_1/m (No. 11); the cell edges are 3.572, 6.887 and 9.885 Å and the angles 90.00°, 100.40° and 90.00°. Symmetry generates all atoms from Ga at (0.078, 0.250, 0.157), Ga at (0.386, 0.250, 0.771), S at (0.146, 0.524, 0.293) and S at (0.493, 0.750, 0.986).

The calculation puts the total DFT energy (no corrections) at -4.24 eV per atom.

***

2.
Below is GaS4 after structural relaxation, with properties calculated at the GGA-PBE level.

The structure belongs to space group Pm-3m (No. 221); the cell edges are 4.670, 4.670 and 4.670 Å and the angles 90.00°, 90.00° and 90.00°. Symmetry generates all atoms from Ga at (0.000, 0.000, 0.000), S at (0.000, 0.000, 0.500) and S at (0.500, 0.500, 0.500).

The polymorph energy (0 for the lowest one) is 902 meV/atom.

***

3.
Below is Ga2S13 after structural relaxation, with properties calculated at the GGA-PBE level.

The structure belongs to space group R-3m (No. 166, hexagonal axes); the cell edges are 6.8358, 6.8358 and 26.8613 Å and the angles 90.00°, 90.00° and 120.00°. Symmetry generates all atoms from Ga at (0.0000, 0.0000, 0.1043), S at (0.0000, 0.0000, 0.0000), S at (0.0391, 0.5196, 0.4308) and S at (0.1053, 0.2107, 0.6183).

The calculation puts the total DFT energy (no corrections) at -3.50 eV per atom.

***

4.
Below is GaS after structural relaxation, with properties calculated at the GGA-PBE level.

The structure belongs to space group Pm-3n (No. 223); the cell edges are 7.167, 7.167 and 7.167 Å and the angles 90.00°, 90.00° and 90.00°. Symmetry generates all atoms from Ga at (0.000, 0.250, 0.500) and S at (0.000, 0.500, 0.250).

The calculation puts the total DFT energy (no corrections) at -3.72 eV per atom.

***

5.
Below is Ga2S3 after structural relaxation, with properties calculated at the GGA-PBE level.

The structure belongs to space group C2/c (No. 15); the cell edges are 11.906, 10.958 and 6.294 Å and the angles 90.00°, 101.98° and 90.00°. Symmetry generates all atoms from Ga at (0.000, 0.104, 0.250), Ga at (0.000, 0.261, 0.750), Ga at (0.186, 0.409, 0.299), S at (0.110, 0.086, 0.623), S at (0.125, 0.237, 0.100) and S at (0.131, 0.412, 0.625).

The calculation puts the total DFT energy (no corrections) at -4.24 eV per atom.

***

6.
Below is Ga2S3 after structural relaxation, with properties calculated at the GGA-PBE level.

The structure belongs to space group Pnma (No. 62); the cell edges are 5.965, 10.306 and 6.531 Å and the angles 90.00°, 90.00° and 90.00°. Symmetry generates all atoms from Ga at (0.000, 0.000, 0.000), Ga at (0.055, 0.250, 0.446), S at (0.162, 0.250, 0.106) and S at (0.188, 0.079, 0.643).

The calculation puts the total DFT energy (no corrections) at -4.13 eV per atom.

***

7.
Below is Ga2S3 after structural relaxation, with properties calculated at the GGA-PBE level.

The structure belongs to space group Fd-3m (No. 227, origin choice 2); the cell edges are 12.119, 12.119 and 12.119 Å and the angles 90.00°, 90.00° and 90.00°. Symmetry generates all atoms from Ga at (0.000, 0.000, 0.000), Ga at (0.000, 0.000, 0.500) and S at (0.100, 0.375, 0.375).

The calculation puts the total DFT energy (no corrections) at -3.61 eV per atom.

***

8.
Below is Ga2S3 after structural relaxation, with properties calculated at the GGA-PBE level.

The structure belongs to space group P6_3/mmc (No. 194); the cell edges are 3.8915, 3.8915 and 15.3096 Å and the angles 90.00°, 90.00° and 120.00°. Symmetry generates all atoms from Ga at (0.0000, 0.0000, 0.0000), Ga at (0.3333, 0.6667, 0.2500), S at (0.0000, 0.0000, 0.2500) and S at (0.3333, 0.6667, 0.0820).

The calculation puts the total DFT energy (no corrections) at -4.08 eV per atom.

***

Number 1: magnetization 0.0 μB/f.u.. Number 2: magnetization 0.0 μB/f.u.. Number 3: magnetization 0.0 μB/f.u.. Number 4: magnetization 0.0 μB/f.u.. Number 5: magnetization 0.0 μB/f.u.. Number 6: magnetization 0.0 μB/f.u.. Number 7: magnetization 0.0 μB/f.u.. Number 8: magnetization 0.0 μB/f.u..